Model P:
Entry from Alexandria via LeMat-Bulk: crystalline Pm2In3Au2 at its relaxed geometry (PBE).

Geometry as POSCAR:
```
Pm2In3Au2
1.0
-1.6936 2.6789 3.0103
-4.0756 -1.5678 -4.0713
-1.0022 -5.6668 4.4792
In Pm Au
3 2 2
Cartesian
0.0000 0.0000 0.0000
-3.6513 -3.6580 4.3746
-3.1201 -0.8977 -0.9564
-4.4305 -3.9274 1.0025
-2.3409 -0.6283 2.4157
-5.1320 -0.8958 1.0835
-1.6393 -3.6600 2.3347
```

- space group = C2/m (12)
- D(E_F) (states/eV per atom) = 0.578

Model Q:
Entry from Alexandria via LeMat-Bulk: crystalline Pm2In3Au2 at its relaxed geometry (PBE).

Geometry as POSCAR:
```
Pm2In3Au2
1.0
4.5488 0.0000 0.0000
-2.2744 5.1048 -1.9956
0.0000 -0.1352 7.4876
Pm In Au
2 3 2
Cartesian
2.2744 3.5854 0.1663
0.0000 1.3842 5.3257
2.2744 0.0000 0.0000
0.0000 3.8927 2.6770
2.2744 1.0769 2.8150
2.2744 3.3642 4.4986
0.0000 1.6054 0.9934
```

- space group = C2/m (12)
- D(E_F) (states/eV per atom) = 0.600

Bottom line: model Q, by a margin of 10 meV per atom.